Below is a relaxed CrGa2NiO6 crystal, with properties calculated at the PBE+U level.

The space group is C2/c (No. 15) and the conventional cell measures 9.539, 8.946 and 5.181 Å, with angles of 90.00, 99.00 and 90.00 degrees. The distinct sites, in fractional coordinates, are Cr at (0.000, 0.236, 0.250), Ga at (0.189, 0.095, 0.802), Ni at (0.000, 0.416, 0.750), O at (0.105, 0.247, 0.590), O at (0.113, 0.403, 0.128) and O at (0.132, 0.086, 0.132).

The calculation puts the total energy at -247.978 eV per cell. As for the size of the total moment: 4.00 μB per formula unit. As for the crystal system: monoclinic.